First-principles (PBE-GGA) data for an optimized crystal structure of RbCo3I, as listed in the Alexandria database.

* energy relative to the elements, uncorrected: 1.286 eV/atom
* space group: Pm-3m, No. 221
* total moment: 3.0 Bohr magnetons per cell

a b c (Å): 4.8337 4.8337 4.8337
angles (deg): 90.00 90.00 90.00
Closest atoms and distances in Å follow each position.
Fractional positions:
I 0.0000 0.0000 0.0000  6 Co 2.42
Co 0.0000 0.5000 0.0000  2 I 2.42
Co 0.0000 0.0000 0.5000  2 I 2.42
Co 0.5000 0.0000 0.0000  2 I 2.42
Rb 0.5000 0.5000 0.5000  12 Co 3.42

First-principles (PBE-GGA) data for an optimized crystal structure of V3SnAs, as listed in the Alexandria database.

* formation energy from the elements: 0.475 eV per atom
* space group: Pm-3m, No. 221
* total moment: 5.7 Bohr magnetons per cell

a b c (Å): 4.6036 4.6036 4.6036
angles (deg): 90.00 90.00 90.00
Closest atoms and distances in Å follow each position.
Fractional positions:
As 0.0000 0.0000 0.0000  6 V 2.30
Sn 0.5000 0.5000 0.5000  12 V 3.26
V 0.0000 0.5000 0.0000  2 As 2.30
V 0.0000 0.0000 0.5000  2 As 2.30
V 0.5000 0.0000 0.0000  2 As 2.30

First-principles (PBE-GGA) data for an optimized crystal structure of Tb5HfMg4, as listed in the Alexandria database.

* formation energy from the elements: -0.019 eV per atom
* space group: P4/mmm, No. 123
* total moment: 0.2 Bohr magnetons per cell

a b c (Å): 3.5598 3.5598 21.6585
angles (deg): 90.00 90.00 90.00
Closest atoms and distances in Å follow each position.
Fractional positions:
Tb 0.5000 0.5000 0.1001  4 Hf 3.32, 4 Mg 3.41, 4 Tb 3.56
Tb 0.5000 0.5000 0.3072  8 Mg 3.27-3.33, 4 Tb 3.56
Tb 0.5000 0.5000 0.5000  8 Mg 3.27, 4 Tb 3.56
Tb 0.5000 0.5000 0.6928  8 Mg 3.27-3.33, 4 Tb 3.56
Tb 0.5000 0.5000 0.8999  4 Hf 3.32, 4 Mg 3.41, 4 Tb 3.56
Hf 0.0000 0.0000 0.0000  8 Tb 3.32, 4 Hf 3.56
Mg 0.0000 0.0000 0.2063  8 Tb 3.33-3.41, 4 Mg 3.56
Mg 0.0000 0.0000 0.4038  8 Tb 3.27, 4 Mg 3.56
Mg 0.0000 0.0000 0.5962  8 Tb 3.27, 4 Mg 3.56
Mg 0.0000 0.0000 0.7937  8 Tb 3.33-3.41, 4 Mg 3.56

First-principles (PBE-GGA) data for an optimized crystal structure of Ba5Li2H12, as listed in the Alexandria database.

* space group: C2/m, No. 12
* E: -3.21 eV per atom
* total moment: 0.0 Bohr magnetons per cell

a b c (Å): 7.1396 7.3080 7.8177
angles (deg): 103.26 90.00 119.24
Closest atoms and distances in Å follow each position.
Fractional positions:
Ba 0.3550 0.7100 0.6354  8 H 2.54-2.79
Ba 0.2639 0.5278 0.1352  5 H 2.45-2.68
Ba 0.0000 0.0000 0.5000  6 H 2.65-2.72
Ba 0.7361 0.4722 0.8648  5 H 2.45-2.68
Ba 0.6450 0.2900 0.3646  8 H 2.54-2.79
Li 0.8141 0.0000 0.0000  4 H 1.84-1.91
Li 0.1859 0.0000 0.0000  4 H 1.84-1.91
H 0.0378 0.0756 0.1820  2 Li 1.91
H 0.1653 0.7323 0.9463  1 Li 1.84
H 0.5670 0.7323 0.9463  1 Li 1.84
H 0.0365 0.6393 0.3933  2 H 2.65-2.78, 4 Ba 2.67-2.81
H 0.6028 0.6393 0.3933  2 H 2.65-2.78, 4 Ba 2.67-2.81
H 0.5567 0.1134 0.6529  3 H 2.45-2.65, 2 Ba 2.45-2.54
H 0.4433 0.8866 0.3471  3 H 2.45-2.65, 2 Ba 2.45-2.54
H 0.9635 0.3607 0.6067  2 H 2.65-2.78, 4 Ba 2.67-2.81
H 0.3972 0.3607 0.6067  2 H 2.65-2.78, 4 Ba 2.67-2.81
H 0.8347 0.2677 0.0537  1 Li 1.84
H 0.4330 0.2677 0.0537  1 Li 1.84
H 0.9622 0.9244 0.8180  2 Li 1.91

First-principles (PBE-GGA) data for an optimized crystal structure of Cr4CdP, as listed in the Alexandria database.

* formation energy from the elements: 0.556 eV per atom
* space group: F-43m, No. 216
* total moment: 0.0 Bohr magnetons per cell

a b c (Å): 4.8477 4.8477 4.8477
angles (deg): 60.00 60.00 60.00
Closest atoms and distances in Å follow each position.
Fractional positions:
Cr 0.8781 0.3740 0.3740  6 Cr 2.40-2.44
Cr 0.3740 0.3740 0.8781  6 Cr 2.40-2.44
Cr 0.3740 0.8781 0.3740  6 Cr 2.40-2.44
Cr 0.3740 0.3740 0.3740  6 Cr 2.40-2.44
Cd 0.0000 0.0000 0.0000  12 Cr 2.84, 4 P 2.97
P 0.7500 0.7500 0.7500  12 Cr 2.84, 4 Cd 2.97

- total moment of number 3 (Tb5HfMg4)?
  0.2 Bohr magnetons per cell

- Which value of total moment does entry 5 give?
  0.0 Bohr magnetons per cell